VASP calculation (GGA-PBE) on a geometry-optimized ReAsSe2 structure.

```
4
Lattice="2.6471 0.0000 0.0000 0.0000 4.3026 0.0000 -0.0670 0.0000 6.7354" Properties=species:S:1:pos:R:3 pbc="T T T"
Re 0.0000 0.0000 0.0000
As -0.0335 0.0000 3.3677
Se 0.0017 2.1513 1.5176
Se 2.5784 2.1513 5.2178
```

The calculation puts the formation energy (no corrections) at 547 meV per atom. Its raw total energy is -21.879 eV/f.u.